# 1
# PmY2VN4 (GGA-PBE, optimized geometry)
data_PmY2VN4
_chemical_formula_sum 'Pm4 Y8 V4 N16'
_symmetry_space_group_name_H-M 'C m c m'
_symmetry_Int_Tables_number 63
_symmetry_space_group_name_Hall '-C 2c 2'
_cell_length_a 3.3854
_cell_length_b 11.7070
_cell_length_c 11.7921
_cell_angle_alpha 90.00
_cell_angle_beta 90.00
_cell_angle_gamma 90.00
loop_
_atom_site_label
_atom_site_type_symbol
_atom_site_fract_x
_atom_site_fract_y
_atom_site_fract_z
_atom_site_occupancy
Pm1 Pm 0.0000 0.0856 0.2500 1
Y1 Y 0.0000 0.3703 0.0426 1
V1 V 0.0000 0.1741 0.7500 1
N1 N 0.0000 0.0000 0.0000 1
N2 N 0.0000 0.2647 0.6263 1
N3 N 0.0000 0.4246 0.2500 1
# Formation energy from raw total energies, eV/atom: -1.3461

***

# 2
# PmZrVN3 (GGA-PBE, optimized geometry)
data_PmZrVN3
_chemical_formula_sum 'Pm2 Zr2 V2 N6'
_symmetry_space_group_name_H-M 'P 1 21/m 1'
_symmetry_Int_Tables_number 11
_cell_length_a 7.0442
_cell_length_b 3.3604
_cell_length_c 7.6187
_cell_angle_alpha 90.00
_cell_angle_beta 101.74
_cell_angle_gamma 90.00
loop_
_symmetry_equiv_pos_as_xyz
'x,y,z'
'-x,-y,-z'
'-x,y+1/2,-z'
'x,-y+1/2,z'
loop_
_atom_site_label
_atom_site_type_symbol
_atom_site_fract_x
_atom_site_fract_y
_atom_site_fract_z
_atom_site_occupancy
Pm1 Pm 0.1785 0.2500 0.1766 1
Zr1 Zr 0.3571 0.7500 0.8506 1
V1 V 0.0924 0.2500 0.6047 1
N1 N 0.1170 0.2500 0.8552 1
N2 N 0.1819 0.7500 0.5302 1
N3 N 0.4263 0.7500 0.1458 1
# Formation energy from raw total energies, eV/atom: -1.2280

***

# 3
# PmW3N6 (GGA-PBE, optimized geometry)
data_PmW3N6
_chemical_formula_sum 'Pm2 W6 N12'
_symmetry_space_group_name_H-M 'P 1 21/m 1'
_symmetry_Int_Tables_number 11
_cell_length_a 8.7006
_cell_length_b 3.0692
_cell_length_c 8.9871
_cell_angle_alpha 90.00
_cell_angle_beta 109.50
_cell_angle_gamma 90.00
loop_
_symmetry_equiv_pos_as_xyz
'x,y,z'
'-x,-y,-z'
'-x,y+1/2,-z'
'x,-y+1/2,z'
loop_
_atom_site_label
_atom_site_type_symbol
_atom_site_fract_x
_atom_site_fract_y
_atom_site_fract_z
_atom_site_occupancy
Pm1 Pm 0.0711 0.2500 0.2057 1
W1 W 0.1703 0.2500 0.5975 1
W2 W 0.3248 0.7500 0.9889 1
W3 W 0.4639 0.2500 0.3552 1
N1 N 0.0729 0.7500 0.4238 1
N2 N 0.1582 0.2500 0.9705 1
N3 N 0.2069 0.7500 0.7515 1
N4 N 0.3103 0.7500 0.2398 1
N5 N 0.3611 0.2500 0.5275 1
N6 N 0.4855 0.2500 0.1128 1
# Formation energy from raw total energies, eV/atom: -0.4979

***

# 4
# Pm3WN6 (GGA-PBE, optimized geometry)
data_Pm3WN6
_chemical_formula_sum 'Pm12 W4 N24'
_symmetry_space_group_name_H-M 'C m c 21'
_symmetry_Int_Tables_number 36
_cell_length_a 9.7002
_cell_length_b 12.0389
_cell_length_c 5.5338
_cell_angle_alpha 90.00
_cell_angle_beta 90.00
_cell_angle_gamma 90.00
loop_
_symmetry_equiv_pos_as_xyz
'x,y,z'
'-x,-y,z+1/2'
'-x,y,z'
'x,-y,z+1/2'
'x+1/2,y+1/2,z'
'-x+1/2,-y+1/2,z+1/2'
'-x+1/2,y+1/2,z'
'x+1/2,-y+1/2,z+1/2'
loop_
_atom_site_label
_atom_site_type_symbol
_atom_site_fract_x
_atom_site_fract_y
_atom_site_fract_z
_atom_site_occupancy
Pm1 Pm 0.0000 0.1064 0.0000 1
Pm2 Pm 0.1876 0.3924 0.0272 1
W1 W 0.0000 0.3019 0.5684 1
N1 N 0.0000 0.2888 0.2252 1
N2 N 0.0000 0.4466 0.6896 1
N3 N 0.1514 0.2368 0.7229 1
N4 N 0.1600 0.0078 0.2687 1
# Formation energy from raw total energies, eV/atom: -0.7205

***

> formation energy from raw total energies of number 1 (PmY2VN4)?

-1.3461 eV/atom

***

> Look up the formation energy from raw total energies of the third one.

-0.4979 eV/atom

***

> The lowest formation energy from raw total energies belongs to which entry?

PmY2VN4